This record from Alexandria via LeMat-Bulk describes a relaxed structure of Na6AuO2. The functional is PBE.

Calculated values
volume: 199.2 Å³ per cell
SG: P4/mmm (123)

Unit cell a=4.620 b=4.620 c=9.331 alpha=90.00 beta=90.00 gamma=90.00
Fractional positions:
1 Na 0.500 0.000 0.738
2 Na 0.000 0.500 0.738
3 Na 0.500 0.000 0.262
4 Na 0.000 0.500 0.262
5 Na 0.500 0.500 0.500
6 Na 0.500 0.500 0.000
7 Au 0.000 0.000 0.500
8 O 0.500 0.500 0.757
9 O 0.500 0.500 0.243


This record from Alexandria via LeMat-Bulk describes a relaxed structure of Na2AuO2. The functional is PBE.

Calculated values
volume: 130.7 Å³ per cell
SG: P4/mbm (127)

Unit cell a=6.146 b=6.146 c=3.461 alpha=90.00 beta=90.00 gamma=90.00
Fractional positions:
1 Na 0.139 0.639 0.500
2 Na 0.639 0.861 0.500
3 Na 0.861 0.361 0.500
4 Na 0.361 0.139 0.500
5 Au 0.000 0.000 0.000
6 Au 0.500 0.500 0.000
7 O 0.323 0.823 0.000
8 O 0.823 0.677 0.000
9 O 0.677 0.177 0.000
10 O 0.177 0.323 0.000


This record from Alexandria via LeMat-Bulk describes a relaxed structure of NaAuO2. The functional is PBE.

Calculated values
volume: 47.3 Å³ per cell
SG: Fm-3m (225)

Unit cell a=4.058 b=4.058 c=4.058 alpha=60.00 beta=60.00 gamma=60.00
Fractional positions:
1 Na 0.000 0.000 0.000
2 Au 0.500 0.500 0.500
3 O 0.250 0.250 0.250
4 O 0.750 0.750 0.750


Final energy values, unit eV/cell, following the record order: -28.7 -39.1 -14.9.
Spin magnetization values, unit μB per formula unit, following the record order: 0.00 0.00 2.00.